Entry 1:
Computed, not measured: an optimized crystal structure of La3Nd2YS6 at the PBE-GGA level of DFT.

Cell lengths 7.0797, 7.0797, 7.0844 Å; angles 99.60, 99.60, 120.09 degrees
Sites, in units of the cell vectors:
La 0.0000 0.0000 0.0000
La 0.3304 0.6696 0.0000
La 0.6696 0.3304 0.0000
Nd 0.1667 0.8333 0.5000
Nd 0.8333 0.1667 0.5000
Y 0.5000 0.5000 0.5000
S 0.0954 0.4205 0.2610
S 0.2557 0.2557 0.7421
S 0.4205 0.0954 0.2610
S 0.5795 0.9046 0.7390
S 0.7443 0.7443 0.2579
S 0.9046 0.5795 0.7390

***

Entry 2:
Computed, not measured: an optimized crystal structure of LaNd3Y2S6 at the PBE-GGA level of DFT.

Cell lengths 6.9900, 6.9900, 6.9939 Å; angles 99.60, 99.60, 120.12 degrees
Sites, in units of the cell vectors:
La 0.0000 0.0000 0.0000
Nd 0.1628 0.8372 0.5000
Nd 0.5000 0.5000 0.5000
Nd 0.8372 0.1628 0.5000
Y 0.3330 0.6670 0.0000
Y 0.6670 0.3330 0.0000
S 0.0811 0.4251 0.2433
S 0.2647 0.2647 0.7612
S 0.4251 0.0811 0.2433
S 0.5749 0.9189 0.7567
S 0.7353 0.7353 0.2388
S 0.9189 0.5749 0.7567

***

Entry 3:
Computed, not measured: an optimized crystal structure of La3NdY2S6 at the PBE-GGA level of DFT.

Cell lengths 7.0210, 7.0210, 7.0655 Å; angles 99.55, 99.55, 120.10 degrees
Sites, in units of the cell vectors:
La 0.0000 0.0000 0.0000
La 0.3363 0.6637 0.0000
La 0.6637 0.3363 0.0000
Nd 0.5000 0.5000 0.5000
Y 0.1666 0.8334 0.5000
Y 0.8334 0.1666 0.5000
S 0.0797 0.4214 0.2637
S 0.2360 0.2360 0.7333
S 0.4214 0.0797 0.2637
S 0.5786 0.9203 0.7363
S 0.7640 0.7640 0.2667
S 0.9203 0.5786 0.7363

***

Size of the total moment list, top to bottom, in μB/atom: 0.000, 0.000, 0.000
Uncorrected formation energy list, top to bottom, in eV per atom: -2.098, -2.041, -2.094